No. 1
Material: TbGdAlGa
Method: DFT, PBE-GGA
State: optimized geometry

Unit cell a=7.229 b=7.229 c=7.229 alpha=90.00 beta=90.00 gamma=90.00
Atoms (fractional coordinates):
Tb 0.000 0.000 0.000
Tb 0.000 0.500 0.500
Tb 0.500 0.000 0.500
Tb 0.500 0.500 0.000
Gd 0.000 0.000 0.500
Gd 0.000 0.500 0.000
Gd 0.500 0.000 0.000
Gd 0.500 0.500 0.500
Al 0.250 0.250 0.250
Al 0.250 0.750 0.750
Al 0.750 0.250 0.750
Al 0.750 0.750 0.250
Ga 0.250 0.250 0.750
Ga 0.250 0.750 0.250
Ga 0.750 0.250 0.250
Ga 0.750 0.750 0.750

Results
calculated volume	23.6	Å³/atom
Fermi-level density of states	0.40	states/eV/atom
SG	No. 216
DFT total energy	-0.2517	Ha/atom
energy of formation	-0.480	eV per atom
ρ	7.3	Mg/m³
total magnetic moment	7.1	μB per formula unit

No. 2
Material: Na2NbO3
Method: DFT, PBE-GGA
State: optimized geometry

Unit cell a=3.090 b=4.284 c=10.572 alpha=90.00 beta=90.00 gamma=90.00
Atoms (fractional coordinates):
Na 0.000 0.000 0.181
Na 0.000 0.000 0.819
Na 0.500 0.500 0.319
Na 0.500 0.500 0.681
Nb 0.000 0.000 0.500
Nb 0.500 0.500 0.000
O 0.000 0.500 0.138
O 0.000 0.500 0.500
O 0.000 0.500 0.862
O 0.500 0.000 0.000
O 0.500 0.000 0.362
O 0.500 0.000 0.638

Results
calculated volume	11.7	Å³/atom
Fermi-level density of states	0.22	states/eV/atom
SG	No. 71
DFT total energy	-0.2427	Ha/atom
raw formation energy	-2.008	eV/atom
ρ	4.4	Mg/m³
total magnetic moment	0.6	μB per formula unit

No. 3
Material: Na3SrRu
Method: DFT, PBE-GGA
State: optimized geometry

Unit cell a=6.141 b=6.141 c=6.141 alpha=90.00 beta=90.00 gamma=90.00
Atoms (fractional coordinates):
Na 0.000 0.000 0.500
Na 0.000 0.500 0.000
Na 0.500 0.000 0.000
Sr 0.000 0.000 0.000
Ru 0.500 0.500 0.500

Results
calculated volume	46.3	Å³/atom
Fermi-level density of states	1.13	states/eV/atom
SG	No. 221
DFT total energy	-0.0492	Ha/atom
distance to the lowest polymorph of the same formula	0.8580	eV per atom
energy of formation	1.645	eV per atom
ρ	1.8	Mg/m³
total magnetic moment	1.5	μB per formula unit

No. 4
Material: Nb2CrAu
Method: DFT, PBE-GGA
State: optimized geometry

Unit cell a=3.081 b=3.081 c=7.027 alpha=90.00 beta=90.00 gamma=90.00
Atoms (fractional coordinates):
Nb 0.000 0.000 0.215
Nb 0.000 0.000 0.785
Cr 0.500 0.500 0.000
Au 0.500 0.500 0.500

Results
calculated volume	16.7	Å³/atom
Fermi-level density of states	0.95	states/eV/atom
SG	No. 123
DFT total energy	-0.3032	Ha/atom
distance to the lowest polymorph of the same formula	0.0000	eV per atom
energy of formation	0.009	eV per atom
ρ	10.8	Mg/m³
total magnetic moment	0.0	μB per formula unit

No. 5
Material: LiTm3Te4
Method: DFT, PBE-GGA
State: optimized geometry

Unit cell a=9.690 b=8.793 c=6.058 alpha=90.00 beta=90.00 gamma=90.00
Atoms (fractional coordinates):
Li 0.000 0.091 0.000
Li 0.500 0.909 0.500
Tm 0.000 0.725 0.502
Tm 0.198 0.340 0.502
Tm 0.302 0.660 0.002
Tm 0.500 0.275 0.002
Tm 0.698 0.660 0.002
Tm 0.802 0.340 0.502
Te 0.000 0.078 0.501
Te 0.000 0.767 0.002
Te 0.197 0.336 0.002
Te 0.303 0.664 0.502
Te 0.500 0.233 0.502
Te 0.500 0.922 0.001
Te 0.697 0.664 0.502
Te 0.803 0.336 0.002

Results
calculated volume	32.3	Å³/atom
Fermi-level density of states	0.47	states/eV/atom
SG	No. 31
DFT total energy	-0.1684	Ha/atom
raw formation energy	-1.094	eV/atom
distance to the lowest polymorph of the same formula	0.1425	eV per atom
ρ	6.6	Mg/m³
total magnetic moment	0.1	μB per formula unit

No. 6
Material: NpBiC
Method: DFT, PBE-GGA
State: optimized geometry

Unit cell a=3.999 b=3.999 c=7.732 alpha=90.00 beta=90.00 gamma=90.00
Atoms (fractional coordinates):
Np 0.250 0.250 0.139
Np 0.750 0.750 0.861
Bi 0.250 0.250 0.610
Bi 0.750 0.750 0.390
C 0.250 0.750 0.000
C 0.750 0.250 0.000

Results
calculated volume	20.6	Å³/atom
Fermi-level density of states	2.27	states/eV/atom
SG	No. 129
DFT total energy	-0.3127	Ha/atom
energy of formation	0.172	eV per atom
ρ	12.3	Mg/m³
total magnetic moment	2.4	μB per formula unit

No. 7
Material: KTcRh2
Method: DFT, PBE-GGA
State: optimized geometry

Unit cell a=5.163 b=2.663 c=5.570 alpha=90.00 beta=116.70 gamma=90.00
Atoms (fractional coordinates):
K 0.000 0.000 0.000
Tc 0.000 0.500 0.500
Rh 0.500 0.000 0.500
Rh 0.500 0.500 0.000

Results
calculated volume	17.1	Å³/atom
Fermi-level density of states	1.38	states/eV/atom
SG	No. 10
DFT total energy	-0.2037	Ha/atom
distance to the lowest polymorph of the same formula	0.6667	eV per atom
energy of formation	1.000	eV per atom
ρ	8.3	Mg/m³
total magnetic moment	1.8	μB per formula unit

No. 8
Material: IrRh3Au
Method: DFT, PBE-GGA
State: optimized geometry

Unit cell a=4.703 b=4.703 c=4.703 alpha=90.00 beta=90.00 gamma=90.00
Atoms (fractional coordinates):
Ir 0.000 0.000 0.000
Rh 0.000 0.000 0.500
Rh 0.000 0.500 0.000
Rh 0.500 0.000 0.000
Au 0.500 0.500 0.500

Results
calculated volume	20.8	Å³/atom
Fermi-level density of states	1.30	states/eV/atom
SG	No. 221
DFT total energy	-0.2022	Ha/atom
distance to the lowest polymorph of the same formula	0.0000	eV per atom
energy of formation	1.336	eV per atom
ρ	11.1	Mg/m³
total magnetic moment	0.0	μB per formula unit

No. 9
Material: Mn2CoPt
Method: DFT, PBE-GGA
State: optimized geometry

Unit cell a=6.027 b=6.027 c=6.027 alpha=90.00 beta=90.00 gamma=90.00
Atoms (fractional coordinates):
Mn 0.000 0.000 0.000
Mn 0.000 0.500 0.500
Mn 0.250 0.250 0.250
Mn 0.250 0.750 0.750
Mn 0.500 0.000 0.500
Mn 0.500 0.500 0.000
Mn 0.750 0.250 0.750
Mn 0.750 0.750 0.250
Co 0.000 0.000 0.500
Co 0.000 0.500 0.000
Co 0.500 0.000 0.000
Co 0.500 0.500 0.500
Pt 0.250 0.250 0.750
Pt 0.250 0.750 0.250
Pt 0.750 0.250 0.250
Pt 0.750 0.750 0.750

Results
calculated volume	13.7	Å³/atom
Fermi-level density of states	1.24	states/eV/atom
SG	No. 216
DFT total energy	-0.2872	Ha/atom
energy of formation	0.058	eV per atom
ρ	11.0	Mg/m³
total magnetic moment	9.2	μB per formula unit

No. 10
Material: CeLuMgTl
Method: DFT, PBE-GGA
State: optimized geometry

Unit cell a=7.591 b=7.591 c=7.591 alpha=90.00 beta=90.00 gamma=90.00
Atoms (fractional coordinates):
Ce 0.000 0.000 0.000
Ce 0.000 0.500 0.500
Ce 0.500 0.000 0.500
Ce 0.500 0.500 0.000
Lu 0.000 0.000 0.500
Lu 0.000 0.500 0.000
Lu 0.500 0.000 0.000
Lu 0.500 0.500 0.500
Mg 0.250 0.250 0.750
Mg 0.250 0.750 0.250
Mg 0.750 0.250 0.250
Mg 0.750 0.750 0.750
Tl 0.250 0.250 0.250
Tl 0.250 0.750 0.750
Tl 0.750 0.250 0.750
Tl 0.750 0.750 0.250

Results
calculated volume	27.3	Å³/atom
Fermi-level density of states	2.50	states/eV/atom
SG	No. 216
DFT total energy	-0.1371	Ha/atom
energy of formation	-0.128	eV per atom
ρ	8.3	Mg/m³
total magnetic moment	1.0	μB per formula unit

No. 11
Material: TmAlGePt3
Method: DFT, PBE-GGA
State: optimized geometry

Unit cell a=8.502 b=8.502 c=5.548 alpha=90.00 beta=90.00 gamma=141.75
Atoms (fractional coordinates):
Tm 0.198 0.802 0.750
Tm 0.802 0.198 0.250
Al 0.403 0.597 0.250
Al 0.597 0.403 0.750
Ge 0.098 0.902 0.250
Ge 0.902 0.098 0.750
Pt 0.250 0.250 0.000
Pt 0.250 0.250 0.500
Pt 0.251 0.749 0.250
Pt 0.749 0.251 0.750
Pt 0.750 0.750 0.000
Pt 0.750 0.750 0.500

Results
calculated volume	20.7	Å³/atom
Fermi-level density of states	0.45	states/eV/atom
SG	No. 63
DFT total energy	-0.2183	Ha/atom
energy of formation	-0.780	eV per atom
ρ	11.4	Mg/m³
total magnetic moment	0.0	μB per formula unit

No. 12
Material: TiIn2P
Method: DFT, PBE-GGA
State: optimized geometry

Unit cell a=7.886 b=7.886 c=5.446 alpha=90.00 beta=90.00 gamma=90.00
Atoms (fractional coordinates):
Ti 0.000 0.000 0.000
Ti 0.000 0.500 0.250
Ti 0.500 0.000 0.750
Ti 0.500 0.500 0.500
In 0.217 0.250 0.625
In 0.250 0.717 0.875
In 0.250 0.783 0.375
In 0.283 0.250 0.125
In 0.717 0.750 0.125
In 0.750 0.217 0.375
In 0.750 0.283 0.875
In 0.783 0.750 0.625
P 0.000 0.000 0.500
P 0.000 0.500 0.750
P 0.500 0.000 0.250
P 0.500 0.500 0.000

Results
calculated volume	21.2	Å³/atom
Fermi-level density of states	1.06	states/eV/atom
SG	No. 122
DFT total energy	-0.1662	Ha/atom
energy of formation	0.174	eV per atom
ρ	6.1	Mg/m³
total magnetic moment	0.0	μB per formula unit

No. 13
Material: HgPb2Au
Method: DFT, PBE-GGA
State: optimized geometry

Unit cell a=12.072 b=3.630 c=5.364 alpha=90.00 beta=115.60 gamma=90.00
Atoms (fractional coordinates):
Hg 0.000 0.000 0.000
Hg 0.500 0.500 0.000
Pb 0.062 0.500 0.560
Pb 0.276 0.500 0.264
Pb 0.562 0.000 0.560
Pb 0.776 0.000 0.264
Au 0.286 0.000 0.767
Au 0.786 0.500 0.767

Results
calculated volume	26.5	Å³/atom
Fermi-level density of states	0.34	states/eV/atom
SG	No. 8
DFT total energy	-0.1008	Ha/atom
distance to the lowest polymorph of the same formula	0.0457	eV per atom
energy of formation	0.007	eV per atom
ρ	12.7	Mg/m³
total magnetic moment	0.0	μB per formula unit